Density functional theory data (PBE-GGA) for a geometry-optimized Ce2ZnTcN5 structure.

a = 7.0741 Å, b = 7.0741 Å, c = 9.6119 Å
α = 90.00°, β = 90.00°, γ = 152.38°
Positions (direct):
Ce  0.1260  0.8740  0.5000
Ce  0.1312  0.8688  0.0659
Ce  0.8688  0.1312  0.5659
Ce  0.8740  0.1260  0.0000
Zn  0.4918  0.5082  0.2676
Zn  0.5082  0.4918  0.7676
Tc  0.2173  0.7827  0.7858
Tc  0.7827  0.2173  0.2858
N  0.0766  0.9234  0.8020
N  0.2863  0.7137  0.4283
N  0.2911  0.7089  0.1493
N  0.3582  0.6418  0.7907
N  0.4995  0.5005  0.0495
N  0.5005  0.4995  0.5495
N  0.6418  0.3582  0.2907
N  0.7089  0.2911  0.6493
N  0.7137  0.2863  0.9283
N  0.9234  0.0766  0.3020

M_tot (μB/cell): 0.00
Raw formation energy (kJ/mol of formula units): -556